[1]
First-principles (PBE-GGA) data for a relaxed MnFeTc crystal, as listed in the Alexandria database.

Summary:
space group = Imm2
DFT formation energy = 0.13 eV/atom
V = 12.28 A^3/atom
VASP energy = -27.612 eV/f.u.
magnetization = 0.85 μB per atom
polymorph energy (0 for the lowest one) = 121 meV per atom
D(E_F) = 4.1 states/eV/cell

Cell lengths 4.4725, 4.4725, 4.4725 Å; angles 146.19, 131.65, 60.29 degrees
Closest atoms and distances in Å follow each position.
Sites, in units of the cell vectors:
1 Tc 0.3336 0.3336 0.0000  5 Mn 2.55-2.60, 5 Fe 2.56-2.60, 2 Tc 2.60
2 Mn 0.6634 0.6634 0.0000  5 Tc 2.55-2.60, 5 Fe 2.57-2.63, 2 Mn 2.60
3 Fe 0.0030 0.0030 0.0000  5 Tc 2.56-2.60, 5 Mn 2.57-2.63, 2 Fe 2.60

[2]
First-principles (PBE-GGA) data for a relaxed MnFeTc2 crystal, as listed in the Alexandria database.

Summary:
space group = R3m
DFT formation energy = 0.17 eV/atom
V = 12.93 A^3/atom
VASP energy = -37.691 eV/f.u.
magnetization = 0.38 μB per atom
polymorph energy (0 for the lowest one) = 117 meV per atom
D(E_F) = 4.3 states/eV/cell

Cell lengths 8.6582, 8.6582, 8.6582 Å; angles 17.59, 17.59, 17.59 degrees
Closest atoms and distances in Å follow each position.
Sites, in units of the cell vectors:
1 Fe 0.4965 0.4965 0.4965  3 Mn 2.49, 3 Tc 2.61, 6 Fe 2.65
2 Mn 0.7530 0.7530 0.7530  3 Fe 2.49, 3 Tc 2.59, 6 Mn 2.65
3 Tc 0.0045 0.0045 0.0045  3 Mn 2.59, 9 Tc 2.65-2.80
4 Tc 0.2460 0.2460 0.2460  3 Fe 2.61, 9 Tc 2.65-2.80

[3]
First-principles (PBE-GGA) data for a relaxed MnFeTc2 crystal, as listed in the Alexandria database.

Summary:
space group = Cmmm
DFT formation energy = 0.09 eV/atom
V = 12.92 A^3/atom
VASP energy = -38.021 eV/f.u.
magnetization = 0.04 μB per atom
polymorph energy (0 for the lowest one) = 34 meV per atom
D(E_F) = 4.1 states/eV/cell

Cell lengths 5.9092, 4.5617, 2.6281 Å; angles 89.98, 63.64, 121.32 degrees
Closest atoms and distances in Å follow each position.
Sites, in units of the cell vectors:
1 Mn 0.5000 0.5000 0.0000  2 Mn 2.63, 8 Tc 2.63, 2 Fe 2.65
2 Fe 0.0000 0.5000 0.5000  2 Fe 2.63, 8 Tc 2.63, 2 Mn 2.65
3 Tc 0.5000 0.0000 0.5000  4 Tc 2.63-2.65, 4 Mn 2.63, 4 Fe 2.63
4 Tc 0.0000 0.0000 0.0000  4 Tc 2.63-2.65, 4 Fe 2.63, 4 Mn 2.63

[4]
First-principles (PBE-GGA) data for a relaxed TiMnFeTc crystal, as listed in the Alexandria database.

Summary:
space group = F-43m
DFT formation energy = -0.15 eV/atom
V = 13.05 A^3/atom
VASP energy = -36.506 eV/f.u.
magnetization = 0.60 μB per atom
D(E_F) = 2.8 states/eV/cell

Cell lengths 4.1947, 4.1947, 4.1947 Å; angles 60.00, 60.00, 60.00 degrees
Closest atoms and distances in Å follow each position.
Sites, in units of the cell vectors:
1 Fe 0.5000 0.5000 0.5000  4 Mn 2.57, 4 Ti 2.57
2 Ti 0.2500 0.2500 0.2500  4 Fe 2.57, 4 Tc 2.57
3 Mn 0.7500 0.7500 0.7500  4 Fe 2.57, 4 Tc 2.57
4 Tc 0.0000 0.0000 0.0000  4 Ti 2.57, 4 Mn 2.57

- magnetization of number 3 (MnFeTc2)?
  0.04 μB per atom